The following is a GGA-PBE calculation of HfAlPd6 after structural relaxation, from Alexandria.

```
HfAlPd6
1.0
5.612 0.000 0.000
0.000 5.612 0.000
0.000 0.000 3.952
Hf Al Pd
1 1 6
Direct
0.000 0.000 0.000 Hf
0.500 0.500 0.000 Al
0.000 0.500 0.000 Pd
0.253 0.253 0.500 Pd
0.253 0.747 0.500 Pd
0.500 0.000 0.000 Pd
0.747 0.253 0.500 Pd
0.747 0.747 0.500 Pd
```

Computed properties:
- Crystal system: tetragonal
- Spin magnetization: 0.00 μB per cell
- Total DFT energy (no corrections): -0.2339 Ha/atom
- DFT formation energy: -585 kJ/mol of formula units

=====

The following is a GGA-PBE calculation of HfAl2Pd2 after structural relaxation, from Alexandria.

```
HfAl2Pd2
1.0
-1.877 1.877 6.107
1.877 -1.877 6.107
1.877 1.877 -6.107
Hf Al Pd
1 2 2
Direct
0.000 0.000 0.000 Hf
0.250 0.750 0.500 Al
0.750 0.250 0.500 Al
0.392 0.392 0.000 Pd
0.608 0.608 0.000 Pd
```

Computed properties:
- Crystal system: tetragonal
- Spin magnetization: 0.00 μB per cell
- Total DFT energy (no corrections): -0.2264 Ha/atom
- DFT formation energy: -288 kJ/mol of formula units